1.
Below is a geometry-optimized TaInIrO6 structure, with properties calculated at the PBE level.

The value obtained for the formation energy without anion corrections is -1.707 eV per atom. Its crystal system is tetragonal. The calculation puts the theoretical density at 8.83 g/cm³. The size of the total moment comes out at 1.976 μB/cell. The value obtained for the volume is 219.6 Å³ per cell.

The structure belongs to space group P4_2nm (No. 102); the cell edges are 4.779, 4.779 and 9.614 Å and the angles 90.00°, 90.00° and 90.00°. Symmetry generates all atoms from Ta at (0.000, 0.000, 0.000), In at (0.000, 0.000, 0.330), Ir at (0.000, 0.000, 0.663), O at (0.182, 0.182, 0.833), O at (0.201, 0.201, 0.507) and O at (0.206, 0.206, 0.149).



2.
Below is a geometry-optimized HgTeSe3 structure, with properties calculated at the PBE level.

The value obtained for the formation energy without anion corrections is -0.045 eV per atom. Its crystal system is monoclinic. The energy above the most stable polymorph in this dataset is 0.0 meV/atom. The calculation puts the theoretical density at 6.29 g/cm³. The size of the total moment comes out at 0.000 μB/cell. The value obtained for the volume is 298.4 Å³ per cell.

The structure belongs to space group P2_1/m (No. 11); the cell edges are 7.257, 4.126 and 9.976 Å and the angles 90.00°, 92.47° and 90.00°. Symmetry generates all atoms from Hg at (0.124, 0.250, 0.315), Te at (0.402, 0.250, 0.839), Se at (0.099, 0.250, 0.654), Se at (0.259, 0.750, 0.003) and Se at (0.482, 0.250, 0.337).



3.
Below is a geometry-optimized Tm8Sb2Ru structure, with properties calculated at the PBE level.

The value obtained for the formation energy without anion corrections is -0.452 eV per atom. Its crystal system is monoclinic. The calculation puts the theoretical density at 9.40 g/cm³. The size of the total moment comes out at 0.000 μB/cell. The value obtained for the volume is 599.3 Å³ per cell.

The structure belongs to space group C2/m (No. 12); the cell edges are 18.638, 4.559 and 7.114 Å and the angles 90.00°, 97.52° and 90.00°. Symmetry generates all atoms from Tm at (0.002, 0.000, 0.275), Tm at (0.095, 0.500, 0.013), Tm at (0.141, 0.500, 0.535), Tm at (0.215, 0.000, 0.847), Sb at (0.182, 0.000, 0.274) and Ru at (0.000, 0.500, 0.500).



4.
Below is a geometry-optimized SbOsS3 structure, with properties calculated at the PBE level.

The value obtained for the formation energy without anion corrections is 0.441 eV per atom. Its crystal system is cubic. The calculation puts the theoretical density at 6.81 g/cm³. The size of the total moment comes out at 0.000 μB/cell. The value obtained for the volume is 99.5 Å³ per cell.

The structure belongs to space group Pm-3m (No. 221); the cell edges are 4.634, 4.634 and 4.634 Å and the angles 90.00°, 90.00° and 90.00°. Symmetry generates all atoms from Sb at (0.000, 0.000, 0.000), Os at (0.500, 0.500, 0.500) and S at (0.000, 0.500, 0.500).



5.
Below is a geometry-optimized Mn2CdCl structure, with properties calculated at the PBE level.

The value obtained for the formation energy without anion corrections is 0.274 eV per atom. Its crystal system is orthorhombic. The energy above the most stable polymorph in this dataset is 267.9 meV/atom. The calculation puts the theoretical density at 5.61 g/cm³. The size of the total moment comes out at 16.200 μB/cell. The value obtained for the volume is 152.5 Å³ per cell.

The structure belongs to space group Immm (No. 71); the cell edges are 3.069, 5.539 and 8.968 Å and the angles 90.00°, 90.00° and 90.00°. Symmetry generates all atoms from Mn at (0.000, 0.000, 0.230), Cd at (0.000, 0.500, 0.000) and Cl at (0.000, 0.500, 0.500).



6.
Below is a geometry-optimized Pa2Re3Ru structure, with properties calculated at the PBE level.

Its crystal system is monoclinic. The calculation puts the theoretical density at 16.71 g/cm³. The size of the total moment comes out at 0.000 μB/cell. The value obtained for the volume is 222.9 Å³ per cell.

The structure belongs to space group C2/m (No. 12); the cell edges are 9.051, 5.209 and 5.638 Å and the angles 90.00°, 123.02° and 90.00°. Symmetry generates all atoms from Pa at (0.128, 0.000, 0.383), Re at (0.000, 0.500, 0.000), Re at (0.250, 0.250, 0.000) and Ru at (0.000, 0.500, 0.500).



7.
Below is a geometry-optimized MnSi structure, with properties calculated at the PBE level.

The value obtained for the formation energy without anion corrections is -0.325 eV per atom. Its crystal system is monoclinic. The calculation puts the theoretical density at 5.87 g/cm³. The size of the total moment comes out at 6.380 μB/cell. The value obtained for the volume is 140.9 Å³ per cell.

The structure belongs to space group Cm (No. 8); the cell edges are 8.472, 2.963 and 5.819 Å and the angles 90.00°, 105.23° and 90.00°. Symmetry generates all atoms from Mn at (0.000, 0.000, 0.000), Mn at (0.072, 0.000, 0.560), Mn at (0.228, 0.500, 0.298), Si at (0.196, 0.500, 0.876), Si at (0.369, 0.000, 0.666) and Si at (0.432, 0.000, 0.261).



8.
Below is a geometry-optimized TbNp4Ga15 structure, with properties calculated at the PBE level.

Its crystal system is tetragonal. The calculation puts the theoretical density at 9.20 g/cm³. The size of the total moment comes out at 15.558 μB/cell. The value obtained for the volume is 388.6 Å³ per cell.

The structure belongs to space group P4/mmm (No. 123); the cell edges are 4.262, 4.262 and 21.398 Å and the angles 90.00°, 90.00° and 90.00°. Symmetry generates all atoms from Tb at (0.000, 0.000, 0.000), Np at (0.000, 0.000, 0.200), Np at (0.000, 0.000, 0.400), Ga at (0.000, 0.500, 0.101), Ga at (0.000, 0.500, 0.300), Ga at (0.000, 0.500, 0.500), Ga at (0.500, 0.500, 0.000), Ga at (0.500, 0.500, 0.201) and Ga at (0.500, 0.500, 0.400).



Total energy list, top to bottom, in Ha/atom: -0.2800 -0.1038 -0.1947 -0.1876 -0.1838 -0.4103 -0.2801 -0.1970